No. 1
VASP calculation (PBE) on a relaxed Rb4SO5 crystal.

a = 8.2744 Å, b = 8.2744 Å, c = 5.7335 Å
α = 90.00°, β = 90.00°, γ = 90.00°
Space group I4 (No. 79)
One atom of each set of equivalent atoms:
Rb1 0.1072 0.2902 0.0000
S1 0.0000 0.0000 0.4633
O1 0.0000 0.0000 0.1929
O2 0.0586 0.1891 0.5243

=====

No. 2
VASP calculation (PBE) on a relaxed CaLaFeC2 crystal.

## Properties
E_form: 1223 meV per atom

a = 4.2229 Å, b = 4.2229 Å, c = 4.4975 Å
α = 90.00°, β = 90.00°, γ = 90.00°
Space group P4/mmm (No. 123)
One atom of each set of equivalent atoms:
Ca1 0.0000 0.0000 0.0000
La1 0.5000 0.5000 0.0000
Fe1 0.5000 0.5000 0.5000
C1 0.0000 0.5000 0.5000

=====

No. 3
VASP calculation (PBE) on a relaxed MnCr2Re crystal.

## Properties
E_form: 745 meV per atom

a = 6.5549 Å, b = 6.5549 Å, c = 4.9052 Å
α = 90.00°, β = 90.00°, γ = 90.00°
Space group I-42d (No. 122)
One atom of each set of equivalent atoms:
Mn1 0.0000 0.0000 0.0000
Cr1 0.2276 0.7500 0.1250
Re1 0.0000 0.0000 0.5000

=====

no.,final energy (eV per atom)
1,-4.57
2,-5.54
3,-9.47